[1]
The following is a DFT calculation (PBE) of a relaxed structure of Ca2IrO5.

**N(E_F)**: 1.63 states/eV/f.u.
**Space-group type**: Cmcm, No. 63
**Crystal system**: orthorhombic

Structure (POSCAR):
```
Ca2IrO5
1.0
2.0162 -5.7786 0.0000
2.0162 5.7786 0.0000
0.0000 0.0000 10.5939
Ca Ir O
4 2 10
Cartesian
2.0162 4.1066 6.0416
2.0162 4.1066 9.8493
2.0162 -4.1066 0.7446
2.0162 -4.1066 4.5523
2.0162 3.8674 2.6485
2.0162 -3.8674 7.9454
2.0162 5.2175 1.3210
2.0162 5.2175 3.9760
2.0162 2.5557 1.1654
2.0162 2.5557 4.1315
2.0162 2.3220 7.9454
2.0162 -2.3220 2.6485
2.0162 -2.5557 6.4624
2.0162 -2.5557 9.4284
2.0162 -5.2175 6.6179
2.0162 -5.2175 9.2729
```


[2]
The following is a DFT calculation (PBE) of a relaxed structure of Ca2IrO6.

**N(E_F)**: 4.92 states/eV/f.u.
**Space-group type**: P4_2/mnm, No. 136
**Crystal system**: tetragonal

Structure (POSCAR):
```
Ca2IrO6
1.0
5.0628 0.0000 0.0000
0.0000 5.0628 0.0000
0.0000 0.0000 10.0448
Ca Ir O
4 2 12
Cartesian
0.0000 0.0000 1.6997
0.0000 0.0000 8.3452
2.5314 2.5314 3.3227
2.5314 2.5314 6.7221
0.0000 0.0000 5.0224
2.5314 2.5314 0.0000
0.9267 0.9267 3.6481
0.9267 0.9267 6.3968
1.2001 1.2001 0.0000
1.3313 3.7315 5.0224
1.6047 3.4581 1.3744
1.6047 3.4581 8.6705
3.4581 1.6047 1.3744
3.4581 1.6047 8.6705
3.7315 1.3313 5.0224
3.8627 3.8627 0.0000
4.1361 4.1361 3.6481
4.1361 4.1361 6.3968
```


[3]
The following is a DFT calculation (PBE) of a relaxed structure of Ca2Ir2O.

**N(E_F)**: 2.90 states/eV/f.u.
**Space-group type**: I4/mmm, No. 139
**Crystal system**: tetragonal

Structure (POSCAR):
```
Ca2Ir2O
1.0
-2.8280 2.8280 3.2506
2.8280 -2.8280 3.2506
2.8280 2.8280 -3.2506
Ca Ir O
2 2 1
Cartesian
2.8280 0.0000 1.6253
0.0000 2.8280 1.6253
0.0000 0.0000 1.2334
0.0000 0.0000 5.2678
0.0000 0.0000 3.2506
```


For each record above, in turn, the calculated formation energy (no corrections) values are -1.791; -1.579; -0.285 eV per atom.
For each record above, in turn, the calculated E above lowest polymorph values are 0.000; 0.002; 0.000 eV/atom.
For each record above, in turn, the calculated calculated total energy values are -104.0; -113.7; -28.1 eV for the cell shown.